The following is a PBE-GGA calculation of a relaxed Tl6Se3S crystal, from Alexandria. Values from VASP.

Output
Energy relative to the lowest polymorph listed for this composition = 0.0 meV per atom
VASP energy = -63.42 eV per cell
Size of the total moment = 0.00 μB/cell
Calculated density = 7.37 g cm⁻³
Space group = P2_1/m, No. 11
D(E_F) = 0.0726 states/eV per atom

Geometry as Quantum ESPRESSO input:
```
&SYSTEM
  ibrav = 0, nat = 20, ntyp = 3
/
ATOMIC_SPECIES
Tl 204.38 Tl.upf
Se 78.96 Se.upf
S 32.06 S.upf
CELL_PARAMETERS angstrom
11.473 0.000 0.000
0.000 4.492 0.000
-2.228 0.000 13.081
ATOMIC_POSITIONS crystal
Tl 0.024 0.250 0.385
Tl 0.101 0.250 0.944
Tl 0.283 0.750 0.288
Tl 0.318 0.750 0.743
Tl 0.379 0.750 0.063
Tl 0.385 0.250 0.554
Tl 0.615 0.750 0.446
Tl 0.621 0.250 0.937
Tl 0.682 0.250 0.257
Tl 0.717 0.250 0.712
Tl 0.899 0.750 0.056
Tl 0.976 0.750 0.615
Se 0.027 0.250 0.185
Se 0.148 0.750 0.485
Se 0.357 0.250 0.904
Se 0.643 0.750 0.096
Se 0.852 0.250 0.515
Se 0.973 0.750 0.815
S 0.451 0.250 0.353
S 0.549 0.750 0.647
```